Pm6InGa | PBE | relaxed

Computed properties:
Formation energy from the elements (meV/atom): -252.6

a b c (Å): 4.896 4.896 9.777
angles (deg): 90.00 90.00 90.00
Space group P4/mmm (No. 123)
Unique sites:
Pm: 0.000 0.000 0.000 (multiplicity 1)
Pm: 0.000 0.000 0.500 (multiplicity 1)
Pm: 0.000 0.500 0.243 (multiplicity 4)
In: 0.500 0.500 0.500 (multiplicity 1)
Ga: 0.500 0.500 0.000 (multiplicity 1)



Pm2InGa3Pt4 | PBE | relaxed

Computed properties:
Formation energy from the elements (meV/atom): -909.3

a b c (Å): 4.157 4.157 11.498
angles (deg): 90.00 90.00 90.00
Space group P-4m2 (No. 115)
Unique sites:
Pm: 0.000 0.500 0.242 (multiplicity 2)
In: 0.000 0.000 0.500 (multiplicity 1)
Ga: 0.000 0.500 0.872 (multiplicity 2)
Ga: 0.500 0.500 0.500 (multiplicity 1)
Pt: 0.000 0.000 0.000 (multiplicity 1)
Pt: 0.000 0.500 0.656 (multiplicity 2)
Pt: 0.500 0.500 0.000 (multiplicity 1)



formation energy from the elements of number 2 (Pm2InGa3Pt4)? -909.3 meV/atom



formation energy from the elements of number 1 (Pm6InGa)? -252.6 meV/atom



Among the records above, which one has the lowest formation energy from the elements? Pm2InGa3Pt4